a.
# Ba4TlGa (GGA-PBE, optimized geometry)
# - magnetization (μB/atom) = 0.00
data_Ba4TlGa
_symmetry_space_group_name_H-M 'P 4/m m m'
_symmetry_Int_Tables_number 123
_symmetry_space_group_name_Hall '-P 4 2'
_cell_length_a 4.272
_cell_length_b 4.272
_cell_length_c 15.149
_cell_angle_alpha 90.00
_cell_angle_beta 90.00
_cell_angle_gamma 90.00
loop_
_atom_site_label
_atom_site_type_symbol
_atom_site_fract_x
_atom_site_fract_y
_atom_site_fract_z
Ba1 Ba 0.000 0.000 0.123
Ba2 Ba 0.500 0.500 0.365
Tl1 Tl 0.000 0.000 0.500
Ga1 Ga 0.500 0.500 0.000

=====

b.
# Ba4TlGa (GGA-PBE, optimized geometry)
# - magnetization (μB/atom) = 0.08
data_Ba4TlGa
_symmetry_space_group_name_H-M 'C m m m'
_symmetry_Int_Tables_number 65
_symmetry_space_group_name_Hall '-C 2 2'
_cell_length_a 11.354
_cell_length_b 11.549
_cell_length_c 5.196
_cell_angle_alpha 90.00
_cell_angle_beta 90.00
_cell_angle_gamma 90.00
loop_
_atom_site_label
_atom_site_type_symbol
_atom_site_fract_x
_atom_site_fract_y
_atom_site_fract_z
Ba1 Ba 0.000 0.211 0.000
Ba2 Ba 0.193 0.500 0.500
Tl1 Tl 0.000 0.000 0.500
Ga1 Ga 0.000 0.500 0.000

=====

Least stable: b

=====

a.
# BaVGa3 (GGA-PBE, optimized geometry)
# - magnetization (μB/atom) = 0.88
data_BaVGa3
_symmetry_space_group_name_H-M 'P m -3 m'
_symmetry_Int_Tables_number 221
_symmetry_space_group_name_Hall '-P 4 2 3'
_cell_length_a 5.768
_cell_length_b 5.768
_cell_length_c 5.768
_cell_angle_alpha 90.00
_cell_angle_beta 90.00
_cell_angle_gamma 90.00
loop_
_atom_site_label
_atom_site_type_symbol
_atom_site_fract_x
_atom_site_fract_y
_atom_site_fract_z
Ba1 Ba 0.000 0.000 0.000
V1 V 0.500 0.500 0.500
Ga1 Ga 0.000 0.000 0.500

=====

b.
# BaVGa3 (GGA-PBE, optimized geometry)
# - magnetization (μB/atom) = 0.00
data_BaVGa3
_symmetry_space_group_name_H-M 'P m -3 m'
_symmetry_Int_Tables_number 221
_symmetry_space_group_name_Hall '-P 4 2 3'
_cell_length_a 4.940
_cell_length_b 4.940
_cell_length_c 4.940
_cell_angle_alpha 90.00
_cell_angle_beta 90.00
_cell_angle_gamma 90.00
loop_
_atom_site_label
_atom_site_type_symbol
_atom_site_fract_x
_atom_site_fract_y
_atom_site_fract_z
Ba1 Ba 0.000 0.000 0.000
V1 V 0.500 0.500 0.500
Ga1 Ga 0.000 0.500 0.500

=====

Least stable: a

=====

a.
# BaV3Ga (GGA-PBE, optimized geometry)
# - magnetization (μB/atom) = 2.22
data_BaV3Ga
_symmetry_space_group_name_H-M 'P m -3 m'
_symmetry_Int_Tables_number 221
_symmetry_space_group_name_Hall '-P 4 2 3'
_cell_length_a 5.036
_cell_length_b 5.036
_cell_length_c 5.036
_cell_angle_alpha 90.00
_cell_angle_beta 90.00
_cell_angle_gamma 90.00
loop_
_atom_site_label
_atom_site_type_symbol
_atom_site_fract_x
_atom_site_fract_y
_atom_site_fract_z
Ba1 Ba 0.000 0.000 0.000
V1 V 0.000 0.500 0.500
Ga1 Ga 0.500 0.500 0.500

=====

b.
# BaV3Ga (GGA-PBE, optimized geometry)
# - magnetization (μB/atom) = 0.00
data_BaV3Ga
_symmetry_space_group_name_H-M 'P m -3 m'
_symmetry_Int_Tables_number 221
_symmetry_space_group_name_Hall '-P 4 2 3'
_cell_length_a 4.787
_cell_length_b 4.787
_cell_length_c 4.787
_cell_angle_alpha 90.00
_cell_angle_beta 90.00
_cell_angle_gamma 90.00
loop_
_atom_site_label
_atom_site_type_symbol
_atom_site_fract_x
_atom_site_fract_y
_atom_site_fract_z
Ba1 Ba 0.000 0.000 0.000
V1 V 0.000 0.000 0.500
Ga1 Ga 0.500 0.500 0.500

=====

Least stable: b

=====

a.
# BaGaW3 (GGA-PBE, optimized geometry)
# - magnetization (μB/atom) = 0.00
data_BaGaW3
_symmetry_space_group_name_H-M 'P m -3 m'
_symmetry_Int_Tables_number 221
_symmetry_space_group_name_Hall '-P 4 2 3'
_cell_length_a 4.855
_cell_length_b 4.855
_cell_length_c 4.855
_cell_angle_alpha 90.00
_cell_angle_beta 90.00
_cell_angle_gamma 90.00
loop_
_atom_site_label
_atom_site_type_symbol
_atom_site_fract_x
_atom_site_fract_y
_atom_site_fract_z
Ba1 Ba 0.000 0.000 0.000
Ga1 Ga 0.500 0.500 0.500
W1 W 0.000 0.500 0.500

=====

b.
# BaGaW3 (GGA-PBE, optimized geometry)
# - magnetization (μB/atom) = 0.00
data_BaGaW3
_symmetry_space_group_name_H-M 'P m -3 m'
_symmetry_Int_Tables_number 221
_symmetry_space_group_name_Hall '-P 4 2 3'
_cell_length_a 5.042
_cell_length_b 5.042
_cell_length_c 5.042
_cell_angle_alpha 90.00
_cell_angle_beta 90.00
_cell_angle_gamma 90.00
loop_
_atom_site_label
_atom_site_type_symbol
_atom_site_fract_x
_atom_site_fract_y
_atom_site_fract_z
Ba1 Ba 0.000 0.000 0.000
Ga1 Ga 0.500 0.500 0.500
W1 W 0.000 0.000 0.500

=====

Least stable: b

=====

a.
# BaY2Ga2 (GGA-PBE, optimized geometry)
# - magnetization (μB/atom) = 0.00
data_BaY2Ga2
_symmetry_space_group_name_H-M 'P 4/m b m'
_symmetry_Int_Tables_number 127
_symmetry_space_group_name_Hall '-P 4 2ab'
_cell_length_a 9.009
_cell_length_b 9.009
_cell_length_c 3.411
_cell_angle_alpha 90.00
_cell_angle_beta 90.00
_cell_angle_gamma 90.00
loop_
_atom_site_label
_atom_site_type_symbol
_atom_site_fract_x
_atom_site_fract_y
_atom_site_fract_z
Ba1 Ba 0.000 0.000 0.000
Y1 Y 0.129 0.371 0.000
Ga1 Ga 0.170 0.670 0.500

=====

b.
# BaY2Ga2 (GGA-PBE, optimized geometry)
# - magnetization (μB/atom) = 0.00
data_BaY2Ga2
_symmetry_space_group_name_H-M 'I 4/m m m'
_symmetry_Int_Tables_number 139
_symmetry_space_group_name_Hall '-I 4 2'
_cell_length_a 4.923
_cell_length_b 4.923
_cell_length_c 12.680
_cell_angle_alpha 90.00
_cell_angle_beta 90.00
_cell_angle_gamma 90.00
loop_
_atom_site_label
_atom_site_type_symbol
_atom_site_fract_x
_atom_site_fract_y
_atom_site_fract_z
Ba1 Ba 0.000 0.000 0.000
Y1 Y 0.000 0.500 0.250
Ga1 Ga 0.000 0.000 0.397

=====

Least stable: b

=====

a.
# Ba3YGa (GGA-PBE, optimized geometry)
# - magnetization (μB/atom) = 0.00
data_Ba3YGa
_symmetry_space_group_name_H-M 'P m -3 m'
_symmetry_Int_Tables_number 221
_symmetry_space_group_name_Hall '-P 4 2 3'
_cell_length_a 6.473
_cell_length_b 6.473
_cell_length_c 6.473
_cell_angle_alpha 90.00
_cell_angle_beta 90.00
_cell_angle_gamma 90.00
loop_
_atom_site_label
_atom_site_type_symbol
_atom_site_fract_x
_atom_site_fract_y
_atom_site_fract_z
Ba1 Ba 0.000 0.000 0.500
Y1 Y 0.000 0.000 0.000
Ga1 Ga 0.500 0.500 0.500

=====

b.
# Ba3YGa (GGA-PBE, optimized geometry)
# - magnetization (μB/atom) = 0.38
data_Ba3YGa
_symmetry_space_group_name_H-M 'P m -3 m'
_symmetry_Int_Tables_number 221
_symmetry_space_group_name_Hall '-P 4 2 3'
_cell_length_a 6.429
_cell_length_b 6.429
_cell_length_c 6.429
_cell_angle_alpha 90.00
_cell_angle_beta 90.00
_cell_angle_gamma 90.00
loop_
_atom_site_label
_atom_site_type_symbol
_atom_site_fract_x
_atom_site_fract_y
_atom_site_fract_z
Ba1 Ba 0.000 0.000 0.500
Y1 Y 0.500 0.500 0.500
Ga1 Ga 0.000 0.000 0.000

=====

Least stable: a

=====

a.
# BaY3Ga (GGA-PBE, optimized geometry)
# - magnetization (μB/atom) = 0.00
data_BaY3Ga
_symmetry_space_group_name_H-M 'P m -3 m'
_symmetry_Int_Tables_number 221
_symmetry_space_group_name_Hall '-P 4 2 3'
_cell_length_a 5.716
_cell_length_b 5.716
_cell_length_c 5.716
_cell_angle_alpha 90.00
_cell_angle_beta 90.00
_cell_angle_gamma 90.00
loop_
_atom_site_label
_atom_site_type_symbol
_atom_site_fract_x
_atom_site_fract_y
_atom_site_fract_z
Ba1 Ba 0.000 0.000 0.000
Y1 Y 0.000 0.000 0.500
Ga1 Ga 0.500 0.500 0.500

=====

b.
# BaY3Ga (GGA-PBE, optimized geometry)
# - magnetization (μB/atom) = 0.00
data_BaY3Ga
_symmetry_space_group_name_H-M 'P m -3 m'
_symmetry_Int_Tables_number 221
_symmetry_space_group_name_Hall '-P 4 2 3'
_cell_length_a 5.682
_cell_length_b 5.682
_cell_length_c 5.682
_cell_angle_alpha 90.00
_cell_angle_beta 90.00
_cell_angle_gamma 90.00
loop_
_atom_site_label
_atom_site_type_symbol
_atom_site_fract_x
_atom_site_fract_y
_atom_site_fract_z
Ba1 Ba 0.000 0.000 0.000
Y1 Y 0.000 0.500 0.500
Ga1 Ga 0.500 0.500 0.500

=====

Least stable: a

=====

a.
# Ba2Zn2Ga (GGA-PBE, optimized geometry)
# - magnetization (μB/atom) = 0.00
data_Ba2Zn2Ga
_symmetry_space_group_name_H-M 'C 1 2/m 1'
_symmetry_Int_Tables_number 12
_cell_length_a 11.680
_cell_length_b 4.963
_cell_length_c 11.920
_cell_angle_alpha 90.00
_cell_angle_beta 118.54
_cell_angle_gamma 90.00
loop_
_symmetry_equiv_pos_as_xyz
'x,y,z'
'-x,-y,-z'
'-x,y,-z'
'x,-y,z'
'x+1/2,y+1/2,z'
'-x+1/2,-y+1/2,-z'
'-x+1/2,y+1/2,-z'
'x+1/2,-y+1/2,z'
loop_
_atom_site_label
_atom_site_type_symbol
_atom_site_fract_x
_atom_site_fract_y
_atom_site_fract_z
Ba1 Ba 0.094 0.000 0.381
Ba2 Ba 0.180 0.500 0.158
Zn1 Zn 0.093 0.000 0.947
Zn2 Zn 0.101 0.500 0.615
Ga1 Ga 0.126 0.500 0.851

=====

b.
# Ba2Zn2Ga (GGA-PBE, optimized geometry)
# - magnetization (μB/atom) = 0.00
data_Ba2Zn2Ga
_symmetry_space_group_name_H-M 'I 4/m m m'
_symmetry_Int_Tables_number 139
_symmetry_space_group_name_Hall '-I 4 2'
_cell_length_a 6.538
_cell_length_b 6.538
_cell_length_c 7.738
_cell_angle_alpha 90.00
_cell_angle_beta 90.00
_cell_angle_gamma 90.00
loop_
_atom_site_label
_atom_site_type_symbol
_atom_site_fract_x
_atom_site_fract_y
_atom_site_fract_z
Ba1 Ba 0.000 0.500 0.250
Zn1 Zn 0.000 0.000 0.158
Ga1 Ga 0.000 0.000 0.500

=====

c.
# Ba2Zn2Ga (GGA-PBE, optimized geometry)
# - magnetization (μB/atom) = 0.00
data_Ba2Zn2Ga
_symmetry_space_group_name_H-M 'I 4/m m m'
_symmetry_Int_Tables_number 139
_symmetry_space_group_name_Hall '-I 4 2'
_cell_length_a 4.033
_cell_length_b 4.033
_cell_length_c 19.718
_cell_angle_alpha 90.00
_cell_angle_beta 90.00
_cell_angle_gamma 90.00
loop_
_atom_site_label
_atom_site_type_symbol
_atom_site_fract_x
_atom_site_fract_y
_atom_site_fract_z
Ba1 Ba 0.000 0.000 0.103
Zn1 Zn 0.000 0.500 0.250
Ga1 Ga 0.000 0.000 0.500

=====

d.
# Ba2Zn2Ga (GGA-PBE, optimized geometry)
# - magnetization (μB/atom) = 0.00
data_Ba2Zn2Ga
_symmetry_space_group_name_H-M 'P 4/m b m'
_symmetry_Int_Tables_number 127
_symmetry_space_group_name_Hall '-P 4 2ab'
_cell_length_a 8.119
_cell_length_b 8.119
_cell_length_c 4.783
_cell_angle_alpha 90.00
_cell_angle_beta 90.00
_cell_angle_gamma 90.00
loop_
_atom_site_label
_atom_site_type_symbol
_atom_site_fract_x
_atom_site_fract_y
_atom_site_fract_z
Ba1 Ba 0.191 0.309 0.000
Zn1 Zn 0.112 0.612 0.500
Ga1 Ga 0.000 0.000 0.500

=====

Least stable: b